(1)
Density functional theory data (PBE-GGA) for a relaxed structure of AcZnPdPb.

Lattice parameters (Å, degrees): 7.327 7.327 7.327 90.00 90.00 90.00
Element x y z (fractional)
1 Ac 0.000 0.000 0.000
2 Ac 0.000 0.500 0.500
3 Ac 0.500 0.000 0.500
4 Ac 0.500 0.500 0.000
5 Zn 0.250 0.250 0.250
6 Zn 0.250 0.750 0.750
7 Zn 0.750 0.250 0.750
8 Zn 0.750 0.750 0.250
9 Pd 0.250 0.250 0.750
10 Pd 0.250 0.750 0.250
11 Pd 0.750 0.250 0.250
12 Pd 0.750 0.750 0.750
13 Pb 0.000 0.000 0.500
14 Pb 0.000 0.500 0.000
15 Pb 0.500 0.000 0.000
16 Pb 0.500 0.500 0.500

The total moment is 0.000 μB/atom. For the formation enthalpy at 0 K, the calculation gives -0.45 eV/atom. For the density of states at the Fermi level, the calculation gives 0.52 states/eV per atom. The calculation puts the total energy at -4.023 eV/atom.

(2)
Density functional theory data (PBE-GGA) for a relaxed structure of Ac3Zn2Pd6Pb.

Lattice parameters (Å, degrees): 5.918 5.918 9.240 90.00 90.00 120.00
Element x y z (fractional)
1 Ac 0.000 0.000 0.000
2 Ac 0.333 0.667 0.634
3 Ac 0.667 0.333 0.366
4 Zn 0.333 0.667 0.035
5 Zn 0.667 0.333 0.965
6 Pd 0.175 0.351 0.263
7 Pd 0.175 0.825 0.263
8 Pd 0.351 0.175 0.737
9 Pd 0.649 0.825 0.263
10 Pd 0.825 0.175 0.737
11 Pd 0.825 0.649 0.737
12 Pb 0.000 0.000 0.500

The total moment is 0.000 μB/atom. For the formation enthalpy at 0 K, the calculation gives -0.58 eV/atom. For the density of states at the Fermi level, the calculation gives 0.53 states/eV per atom. The calculation puts the total energy at -4.720 eV/atom.

(3)
Density functional theory data (PBE-GGA) for a relaxed structure of Ac2ZnPd4Pb2.

Lattice parameters (Å, degrees): 6.627 6.627 6.627 116.29 116.29 96.56
Element x y z (fractional)
1 Ac 0.250 0.750 0.500
2 Ac 0.750 0.250 0.500
3 Zn 0.000 0.000 0.000
4 Pd 0.259 0.259 0.517
5 Pd 0.259 0.741 0.000
6 Pd 0.741 0.259 0.000
7 Pd 0.741 0.741 0.483
8 Pb 0.315 0.315 0.000
9 Pb 0.685 0.685 0.000

The total moment is 0.000 μB/atom. For the formation enthalpy at 0 K, the calculation gives -0.51 eV/atom. For the density of states at the Fermi level, the calculation gives 0.69 states/eV per atom. The calculation puts the total energy at -4.695 eV/atom.

(4)
Density functional theory data (PBE-GGA) for a relaxed structure of AcPm5Pb2.

Lattice parameters (Å, degrees): 4.711 10.106 11.813 90.00 90.00 90.00
Element x y z (fractional)
1 Ac 0.000 0.000 0.000
2 Ac 0.500 0.500 0.500
3 Pm 0.000 0.190 0.348
4 Pm 0.000 0.190 0.652
5 Pm 0.000 0.500 0.000
6 Pm 0.000 0.810 0.348
7 Pm 0.000 0.810 0.652
8 Pm 0.500 0.000 0.500
9 Pm 0.500 0.310 0.152
10 Pm 0.500 0.310 0.848
11 Pm 0.500 0.690 0.152
12 Pm 0.500 0.690 0.848
13 Pb 0.000 0.500 0.280
14 Pb 0.000 0.500 0.720
15 Pb 0.500 0.000 0.220
16 Pb 0.500 0.000 0.780

The total moment is 0.079 μB/atom. For the formation enthalpy at 0 K, the calculation gives -0.22 eV/atom. For the density of states at the Fermi level, the calculation gives 1.61 states/eV per atom. The calculation puts the total energy at -4.627 eV/atom.

(5)
Density functional theory data (PBE-GGA) for a relaxed structure of AcPm3Pb3.

Lattice parameters (Å, degrees): 9.746 9.746 5.623 90.00 90.00 120.00
Element x y z (fractional)
1 Ac 0.333 0.667 0.250
2 Ac 0.667 0.333 0.750
3 Pm 0.000 0.238 0.750
4 Pm 0.000 0.762 0.250
5 Pm 0.238 0.000 0.750
6 Pm 0.238 0.238 0.250
7 Pm 0.762 0.000 0.250
8 Pm 0.762 0.762 0.750
9 Pb 0.075 0.628 0.750
10 Pb 0.372 0.447 0.750
11 Pb 0.447 0.075 0.250
12 Pb 0.553 0.925 0.750
13 Pb 0.628 0.553 0.250
14 Pb 0.925 0.372 0.250

The total moment is 0.000 μB/atom. For the formation enthalpy at 0 K, the calculation gives -0.40 eV/atom. For the density of states at the Fermi level, the calculation gives 0.98 states/eV per atom. The calculation puts the total energy at -4.611 eV/atom.

(6)
Density functional theory data (PBE-GGA) for a relaxed structure of Ac3Pm2Pb4.

Lattice parameters (Å, degrees): 9.006 9.006 7.366 103.54 103.54 34.36
Element x y z (fractional)
1 Ac 0.000 0.000 0.000
2 Ac 0.126 0.126 0.574
3 Ac 0.874 0.874 0.426
4 Pm 0.338 0.338 0.930
5 Pm 0.662 0.662 0.070
6 Pb 0.237 0.237 0.249
7 Pb 0.496 0.496 0.710
8 Pb 0.504 0.504 0.290
9 Pb 0.763 0.763 0.751

The total moment is 0.000 μB/atom. For the formation enthalpy at 0 K, the calculation gives -0.50 eV/atom. For the density of states at the Fermi level, the calculation gives 0.38 states/eV per atom. The calculation puts the total energy at -4.571 eV/atom.

(7)
Density functional theory data (PBE-GGA) for a relaxed structure of Ac6PmPb3.

Lattice parameters (Å, degrees): 10.376 10.376 7.973 90.00 90.00 103.83
Element x y z (fractional)
1 Ac 0.045 0.955 0.500
2 Ac 0.058 0.467 0.985
3 Ac 0.265 0.735 0.645
4 Ac 0.275 0.347 0.663
5 Ac 0.347 0.275 0.163
6 Ac 0.467 0.058 0.485
7 Ac 0.533 0.942 0.985
8 Ac 0.653 0.725 0.663
9 Ac 0.725 0.653 0.163
10 Ac 0.735 0.265 0.145
11 Ac 0.942 0.533 0.485
12 Ac 0.955 0.045 0.000
13 Pm 0.195 0.805 0.138
14 Pm 0.805 0.195 0.638
15 Pb 0.046 0.267 0.342
16 Pb 0.267 0.046 0.842
17 Pb 0.404 0.596 0.972
18 Pb 0.596 0.404 0.472
19 Pb 0.733 0.954 0.342
20 Pb 0.954 0.733 0.842

The total moment is 0.000 μB/atom. For the formation enthalpy at 0 K, the calculation gives -0.21 eV/atom. For the density of states at the Fermi level, the calculation gives 1.37 states/eV per atom. The calculation puts the total energy at -4.261 eV/atom.

(8)
Density functional theory data (PBE-GGA) for a relaxed structure of Ac3PmPb4.

Lattice parameters (Å, degrees): 11.875 6.877 6.873 90.00 90.00 90.00
Element x y z (fractional)
1 Ac 0.000 0.028 0.000
2 Ac 0.250 0.260 0.713
3 Ac 0.250 0.740 0.213
4 Ac 0.500 0.972 0.500
5 Ac 0.750 0.260 0.713
6 Ac 0.750 0.740 0.213
7 Pm 0.000 0.509 0.479
8 Pm 0.500 0.491 0.979
9 Pb 0.000 0.004 0.490
10 Pb 0.000 0.517 0.976
11 Pb 0.225 0.759 0.711
12 Pb 0.275 0.241 0.211
13 Pb 0.500 0.483 0.476
14 Pb 0.500 0.996 0.990
15 Pb 0.725 0.241 0.211
16 Pb 0.775 0.759 0.711

The total moment is 0.000 μB/atom. For the formation enthalpy at 0 K, the calculation gives -0.44 eV/atom. The value obtained for the energy above the lowest structure with this stoichiometry is 25 kJ/mol of formula units. For the density of states at the Fermi level, the calculation gives 0.72 states/eV per atom. The calculation puts the total energy at -4.427 eV/atom.

(9)
Density functional theory data (PBE-GGA) for a relaxed structure of Ac2Pm2Pb3.

Lattice parameters (Å, degrees): 16.052 4.814 8.524 90.00 108.99 90.00
Element x y z (fractional)
1 Ac 0.121 0.000 0.385
2 Ac 0.379 0.500 0.615
3 Ac 0.621 0.500 0.385
4 Ac 0.879 0.000 0.615
5 Pm 0.163 0.500 0.832
6 Pm 0.337 0.000 0.168
7 Pm 0.663 0.000 0.832
8 Pm 0.837 0.500 0.168
9 Pb 0.000 0.500 0.500
10 Pb 0.220 0.500 0.226
11 Pb 0.280 0.000 0.774
12 Pb 0.500 0.000 0.500
13 Pb 0.720 0.000 0.226
14 Pb 0.780 0.500 0.774

The total moment is 0.000 μB/atom. For the formation enthalpy at 0 K, the calculation gives -0.29 eV/atom. For the density of states at the Fermi level, the calculation gives 0.21 states/eV per atom. The calculation puts the total energy at -4.415 eV/atom.

(10)
Density functional theory data (PBE-GGA) for a relaxed structure of Ac5PmPb5.

Lattice parameters (Å, degrees): 8.424 8.424 9.284 106.47 106.47 47.38
Element x y z (fractional)
1 Ac 0.000 0.000 0.000
2 Ac 0.327 0.327 0.169
3 Ac 0.335 0.335 0.671
4 Ac 0.665 0.665 0.329
5 Ac 0.673 0.673 0.831
6 Pm 0.000 0.000 0.500
7 Pb 0.159 0.159 0.341
8 Pb 0.160 0.160 0.825
9 Pb 0.500 0.500 0.500
10 Pb 0.840 0.840 0.175
11 Pb 0.841 0.841 0.659

The total moment is 0.036 μB/atom. For the formation enthalpy at 0 K, the calculation gives -0.34 eV/atom. For the density of states at the Fermi level, the calculation gives 1.03 states/eV per atom. The calculation puts the total energy at -4.327 eV/atom.

(11)
Density functional theory data (PBE-GGA) for a relaxed structure of AcPm8Pb6.

Lattice parameters (Å, degrees): 8.646 8.646 8.646 66.67 66.67 66.67
Element x y z (fractional)
1 Ac 0.000 0.000 0.000
2 Pm 0.104 0.432 0.773
3 Pm 0.227 0.896 0.568
4 Pm 0.333 0.333 0.333
5 Pm 0.432 0.773 0.104
6 Pm 0.568 0.227 0.896
7 Pm 0.667 0.667 0.667
8 Pm 0.773 0.104 0.432
9 Pm 0.896 0.568 0.227
10 Pb 0.069 0.728 0.412
11 Pb 0.272 0.588 0.931
12 Pb 0.412 0.069 0.728
13 Pb 0.588 0.931 0.272
14 Pb 0.728 0.412 0.069
15 Pb 0.931 0.272 0.588

The total moment is 0.000 μB/atom. For the formation enthalpy at 0 K, the calculation gives -0.39 eV/atom. For the density of states at the Fermi level, the calculation gives 0.71 states/eV per atom. The calculation puts the total energy at -4.683 eV/atom.

(12)
Density functional theory data (PBE-GGA) for a relaxed structure of Ac8PmPb2.

Lattice parameters (Å, degrees): 9.499 9.499 6.811 109.59 109.59 59.72
Element x y z (fractional)
1 Ac 0.099 0.697 0.603
2 Ac 0.110 0.110 0.916
3 Ac 0.303 0.901 0.397
4 Ac 0.366 0.366 0.963
5 Ac 0.634 0.634 0.037
6 Ac 0.697 0.099 0.603
7 Ac 0.890 0.890 0.084
8 Ac 0.901 0.303 0.397
9 Pm 0.500 0.500 0.500
10 Pb 0.282 0.282 0.386
11 Pb 0.718 0.718 0.614

The total moment is 0.000 μB/atom. For the formation enthalpy at 0 K, the calculation gives 0.04 eV/atom. For the density of states at the Fermi level, the calculation gives 1.32 states/eV per atom. The calculation puts the total energy at -4.050 eV/atom.